1.
Crystalline Dy7Th3 at its relaxed geometry, computed with PBE.

Its crystal system is monoclinic. The formation energy is 0.04 eV per atom.

extended XYZ file:
```
10
Lattice="-2.389 -4.443 0.213 3.311 -1.490 6.080 -6.277 6.382 2.864" Properties=species:S:1:pos:R:3 pbc="T T T"
Dy -5.322 3.033 3.577
Th -4.343 -0.326 4.341
Dy -1.698 -1.834 2.542
Dy 1.656 -0.745 3.040
Dy -3.658 2.284 6.616
Dy -2.722 -1.055 7.323
Th 0.000 0.000 0.000
Dy -2.633 1.504 1.834
Th -1.013 0.775 4.817
Dy -0.033 -2.584 5.580
```

---

2.
Crystalline ZnInGa at its relaxed geometry, computed with PBE.

Its crystal system is triclinic. The formation energy is 0.06 eV per atom.

extended XYZ file:
```
6
Lattice="-1.472 -0.503 -2.758 6.632 -1.228 -5.385 1.318 -4.666 0.483" Properties=species:S:1:pos:R:3 pbc="T T T"
Ga 0.962 -1.563 -1.677
Ga 6.554 -4.740 -5.464
Zn 4.233 -3.548 -4.715
In 1.705 -3.991 -3.301
In 3.634 -1.103 -3.121
Zn 4.915 -2.512 -7.207
```

---

3.
Crystalline Sr2LaTePd at its relaxed geometry, computed with PBE.

Its crystal system is tetragonal. The energy relative to the elements, uncorrected comes out at 249 meV per atom.

extended XYZ file:
```
5
Lattice="-0.817 1.606 6.227 -4.630 -1.832 -0.135 2.246 -5.810 1.794" Properties=species:S:1:pos:R:3 pbc="T T T"
Sr 1.123 -2.905 0.897
Pd -2.315 -0.916 -0.067
La 0.000 0.000 0.000
Te -1.601 -3.018 3.943
Sr -0.408 0.803 3.113
```

---

For each record above, in turn, the calculated energy values are -5.4083, -2.2817, -3.0763 eV per atom.